Entry 1:
Material: Cd2InSi2
Method: DFT, PBE-GGA
State: optimized geometry

a b c (Å): 7.2641 7.2641 4.1422
angles (deg): 90.00 90.00 90.00
With the nearest neighbours (Å) after each atom.
Sites, in units of the cell vectors:
Si1 0.3844 0.8844 0.0000  1 Si 2.37
Si2 0.8844 0.6156 0.0000  1 Si 2.37
Si3 0.6156 0.1156 0.0000  1 Si 2.37
Si4 0.1156 0.3844 0.0000  1 Si 2.37
Cd1 0.1856 0.6856 0.5000  6 Si 2.91-3.05
Cd2 0.6856 0.8144 0.5000  6 Si 2.91-3.05
Cd3 0.8144 0.3144 0.5000  6 Si 2.91-3.05
Cd4 0.3144 0.1856 0.5000  6 Si 2.91-3.05
In1 0.0000 0.0000 0.0000  4 Si 2.92
In2 0.5000 0.5000 0.0000  4 Si 2.92

Calculated values
Calculated density, g cm⁻³: 6.0
Crystal system: tetragonal
Offset from the most stable computed form, eV/atom: 0.0961

---

Entry 2:
Material: Cd2In2Si
Method: DFT, PBE-GGA
State: optimized geometry

a b c (Å): 8.3610 8.3610 3.5443
angles (deg): 90.00 90.00 90.00
With the nearest neighbours (Å) after each atom.
Sites, in units of the cell vectors:
Si1 0.0000 0.0000 0.0000  4 In 3.07
Si2 0.5000 0.5000 0.0000  4 In 3.07
Cd1 0.1244 0.6244 0.5000  6 In 2.91-3.14, 1 Cd 2.94
Cd2 0.6244 0.8756 0.5000  6 In 2.91-3.14, 1 Cd 2.94
Cd3 0.8756 0.3756 0.5000  6 In 2.91-3.14, 1 Cd 2.94
Cd4 0.3756 0.1244 0.5000  6 In 2.91-3.14, 1 Cd 2.94
In1 0.3196 0.8196 0.0000  6 Cd 2.91-3.14, 2 Si 3.07
In2 0.8196 0.6804 0.0000  6 Cd 2.91-3.14, 2 Si 3.07
In3 0.6804 0.1804 0.0000  6 Cd 2.91-3.14, 2 Si 3.07
In4 0.1804 0.3196 0.0000  6 Cd 2.91-3.14, 2 Si 3.07

Calculated values
Calculated density, g cm⁻³: 6.5
Crystal system: tetragonal
Offset from the most stable computed form, eV/atom: 0.0941

---

Entry 3:
Material: CdIn2Si
Method: DFT, PBE-GGA
State: optimized geometry

a b c (Å): 4.3577 5.0219 4.2436
angles (deg): 90.00 90.00 90.00
With the nearest neighbours (Å) after each atom.
Sites, in units of the cell vectors:
Cd1 0.0000 0.5000 0.5000  8 In 3.04-3.29, 4 Si 3.32
In1 0.0000 0.0000 0.0000  4 Si 3.04, 4 Cd 3.29, 4 In 3.32
In2 0.5000 0.5000 0.0000  4 Cd 3.04, 4 Si 3.29, 4 In 3.32
Si1 0.5000 0.0000 0.5000  8 In 3.04-3.29, 4 Cd 3.32

Calculated values
Electronic total energy, eV/atom: -2.6669
Calculated density, g cm⁻³: 6.6
Crystal system: orthorhombic

---

Entry 4:
Material: CdIn2Si
Method: DFT, PBE-GGA
State: optimized geometry

a b c (Å): 3.2347 3.2347 8.8987
angles (deg): 90.00 90.00 91.43
With the nearest neighbours (Å) after each atom.
Sites, in units of the cell vectors:
Cd1 0.5000 0.5000 0.7195  4 Si 2.93-2.98, 4 Cd 3.23
In1 0.0000 0.0000 0.9895  8 In 3.23-3.48, 4 Cd 3.30-3.34
In2 0.5000 0.5000 0.2816  4 Si 3.04-3.08, 4 In 3.23
Si1 0.0000 0.0000 0.5094  4 Cd 2.93-2.98, 4 In 3.04-3.08, 4 Si 3.23

Calculated values
Electronic total energy, eV/atom: -2.7115
Calculated density, g cm⁻³: 6.6
Crystal system: orthorhombic

---

Entry 5:
Material: CdIn2Si
Method: DFT, PBE-GGA
State: optimized geometry

a b c (Å): 5.7050 5.7050 5.7681
angles (deg): 68.37 68.37 33.16
With the nearest neighbours (Å) after each atom.
Sites, in units of the cell vectors:
Cd1 0.7987 0.7987 0.8012  2 Si 2.84, 3 In 2.99-3.16
In1 0.0312 0.0312 0.9532  2 Si 2.89, 3 Cd 2.99-3.16
In2 0.2053 0.2053 0.3464  3 Si 2.97-3.01, 3 In 3.26-3.28
Si1 0.4649 0.4649 0.3992  2 Cd 2.84, 5 In 2.89-3.01

Calculated values
Electronic total energy, eV/atom: -2.7139
Calculated density, g cm⁻³: 6.5
Crystal system: monoclinic

---

Entry 6:
Material: CdInSi
Method: DFT, PBE-GGA
State: optimized geometry

a b c (Å): 5.7865 5.7865 5.7865
angles (deg): 148.86 138.26 52.98
With the nearest neighbours (Å) after each atom.
Sites, in units of the cell vectors:
Cd1 0.0141 0.0141 0.0000  4 Si 3.00, 2 Cd 3.11, 5 In 3.22-3.24
In1 0.3249 0.3249 0.0000  4 Si 3.09, 2 In 3.11, 5 Cd 3.22-3.24
Si1 0.6610 0.6610 0.0000  4 Cd 3.00, 4 In 3.09, 2 Si 3.11

Calculated values
Calculated density, g cm⁻³: 6.4
Crystal system: orthorhombic
Offset from the most stable computed form, eV/atom: 0.0875

---

Entry 7:
Material: CdIn2Si
Method: DFT, PBE-GGA
State: optimized geometry

a b c (Å): 4.1927 3.3238 7.7784
angles (deg): 59.11 90.00 90.00
With the nearest neighbours (Å) after each atom.
Sites, in units of the cell vectors:
Cd1 0.5000 0.7500 0.7500  8 In 3.16-3.25, 2 Cd 3.32, 2 Si 3.35
In1 0.0000 0.9560 0.0143  4 Si 2.97-3.25, 4 Cd 3.16-3.25, 3 In 3.19-3.32
In2 0.0000 0.5440 0.4857  4 Si 2.97-3.25, 4 Cd 3.16-3.25, 3 In 3.19-3.32
Si1 0.5000 0.2500 0.2500  8 In 2.97-3.25, 2 Si 3.32

Calculated values
Electronic total energy, eV/atom: -2.6875
Calculated density, g cm⁻³: 6.6
Crystal system: monoclinic

---

Entry 8:
Material: Cd3InSi
Method: DFT, PBE-GGA
State: optimized geometry

a b c (Å): 5.1807 5.1807 5.1807
angles (deg): 90.00 90.00 90.00
With the nearest neighbours (Å) after each atom.
Sites, in units of the cell vectors:
Si1 0.0000 0.0000 0.0000  6 Cd 2.59
Cd1 0.0000 0.5000 0.0000  2 Si 2.59
Cd2 0.0000 0.0000 0.5000  2 Si 2.59
Cd3 0.5000 0.0000 0.0000  2 Si 2.59
In1 0.5000 0.5000 0.5000  12 Cd 3.66

Calculated values
Calculated density, g cm⁻³: 5.7
Crystal system: cubic
Offset from the most stable computed form, eV/atom: 0.0000

---

Entry 9:
Material: CdIn2SiTc
Method: DFT, PBE-GGA
State: optimized geometry

a b c (Å): 5.2890 4.6160 5.2890
angles (deg): 90.00 90.00 90.00
With the nearest neighbours (Å) after each atom.
Sites, in units of the cell vectors:
Si1 0.0000 0.5000 0.0000  2 Tc 2.31
Cd1 0.5000 0.5000 0.5000  8 In 3.51, 4 Si 3.74
Tc1 0.0000 0.0000 0.0000  2 Si 2.31
In1 0.0000 0.0000 0.5000  2 Tc 2.64
In2 0.5000 0.0000 0.0000  2 Tc 2.64

Calculated values
Electronic total energy, eV/atom: -4.1854
Calculated density, g cm⁻³: 6.0
Crystal system: tetragonal

---

Entry 10:
Material: Sm4Cd2In5
Method: DFT, PBE-GGA
State: optimized geometry

a b c (Å): 3.7000 8.5066 9.7458
angles (deg): 87.96 90.00 90.00
With the nearest neighbours (Å) after each atom.
Sites, in units of the cell vectors:
Sm1 0.5000 0.7412 0.6338  6 In 3.27-3.57, 4 Cd 3.40-3.43
Sm2 0.5000 0.2275 0.8661  8 In 3.24-3.41, 2 Cd 3.30
Sm3 0.5000 0.2588 0.3662  6 In 3.27-3.57, 4 Cd 3.40-3.43
Sm4 0.5000 0.7725 0.1339  8 In 3.24-3.41, 2 Cd 3.30
Cd1 0.0000 0.0816 0.6202  1 Cd 2.77, 2 In 2.93-2.94
Cd2 0.0000 0.9184 0.3798  1 Cd 2.77, 2 In 2.93-2.94
In1 0.0000 0.5760 0.3610  1 Cd 2.93, 1 In 2.96, 2 Sm 3.27
In2 0.0000 0.1091 0.1228  1 Cd 2.94, 1 In 3.08, 2 Sm 3.24
In3 0.0000 0.5000 0.0000  4 Sm 3.27, 4 In 3.49-3.60
In4 0.0000 0.8909 0.8772  1 Cd 2.94, 1 In 3.08, 2 Sm 3.24
In5 0.0000 0.4240 0.6390  1 Cd 2.93, 1 In 2.96, 2 Sm 3.27

Calculated values
Calculated density, g cm⁻³: 7.6
Crystal system: monoclinic
Energy of formation, eV/atom: -0.38

---

Entry 11:
Material: Sm4CdIn2
Method: DFT, PBE-GGA
State: optimized geometry

a b c (Å): 7.4899 6.6219 9.5744
angles (deg): 90.00 116.25 90.00
With the nearest neighbours (Å) after each atom.
Sites, in units of the cell vectors:
Sm1 0.5624 0.4937 0.2211  1 Cd 3.08, 2 Sm 3.23-3.39, 4 In 3.23-3.42
Sm2 0.0123 0.7500 0.8319  1 Cd 3.20, 2 In 3.24-3.29
Sm3 0.9877 0.2500 0.1681  1 Cd 3.20, 2 In 3.24-3.29
Sm4 0.5624 0.0063 0.2211  1 Cd 3.08, 2 Sm 3.23-3.39, 4 In 3.23-3.42
Sm5 0.9620 0.2500 0.5515  1 Cd 3.14, 1 In 3.34
Sm6 0.4376 0.9937 0.7789  1 Cd 3.08, 2 Sm 3.23-3.39, 4 In 3.23-3.42
Sm7 0.4376 0.5063 0.7789  1 Cd 3.08, 2 Sm 3.23-3.39, 4 In 3.23-3.42
Sm8 0.0380 0.7500 0.4485  1 Cd 3.14, 1 In 3.34
Cd1 0.2106 0.7500 0.2039  2 In 2.84-3.13, 3 Sm 3.08-3.14
Cd2 0.7894 0.2500 0.7961  2 In 2.84-3.13, 3 Sm 3.08-3.14
In1 0.7880 0.7500 0.0600  1 Cd 2.84
In2 0.2120 0.2500 0.9400  1 Cd 2.84
In3 0.4180 0.2500 0.4698  1 Cd 3.13, 5 Sm 3.24-3.42, 2 In 3.49
In4 0.5820 0.7500 0.5302  1 Cd 3.13, 5 Sm 3.24-3.42, 2 In 3.49

Calculated values
Calculated density, g cm⁻³: 7.4
Crystal system: monoclinic
Offset from the most stable computed form, eV/atom: 0.0971
Energy of formation, eV/atom: -0.20

---

Entry 12:
Material: Sm5CdIn4
Method: DFT, PBE-GGA
State: optimized geometry

a b c (Å): 3.8216 3.8216 19.2264
angles (deg): 90.00 90.00 90.00
With the nearest neighbours (Å) after each atom.
Sites, in units of the cell vectors:
Sm1 0.5000 0.5000 0.0986  4 Cd 3.30, 4 In 3.31
Sm2 0.5000 0.5000 0.2995  8 In 3.32-3.34
Sm3 0.5000 0.5000 0.5000  8 In 3.32
Sm4 0.5000 0.5000 0.7005  8 In 3.32-3.34
Sm5 0.5000 0.5000 0.9014  4 Cd 3.30, 4 In 3.31
Cd1 0.0000 0.0000 0.0000  8 Sm 3.30
In1 0.0000 0.0000 0.1978  8 Sm 3.31-3.34
In2 0.0000 0.0000 0.3998  8 Sm 3.32
In3 0.0000 0.0000 0.6002  8 Sm 3.32
In4 0.0000 0.0000 0.8022  8 Sm 3.31-3.34

Calculated values
Calculated density, g cm⁻³: 7.8
Crystal system: tetragonal
Energy of formation, eV/atom: -0.46